[1]
The following is a DFT calculation (GGA-PBE) of a relaxed Al3ReC crystal.

* crystal system: cubic
* calculated formation energy: 216 kJ/mol of formula units
* space-group type: Pm-3m, No. 221
* excess energy over the best structure of this formula in the dataset: 0 meV/atom
* total energy: -6.133 eV/atom
* magnetization: 0.00 μB/cell

Cell lengths 4.0231, 4.0231, 4.0231 Å; angles 90.00, 90.00, 90.00 degrees
Positions (direct):
Al (0.0000, 0.5000, 0.0000)
C (0.0000, 0.0000, 0.0000)
Re (0.5000, 0.5000, 0.5000)
Al (0.5000, 0.0000, 0.0000)
Al (0.0000, 0.0000, 0.5000)

[2]
The following is a DFT calculation (GGA-PBE) of a relaxed BaUBO6 crystal.

* crystal system: triclinic
* space-group type: P1, No. 1
* total energy: -8.164 eV/atom
* magnetization: 1.05 μB/cell

Cell lengths 5.5492, 4.9423, 5.7484 Å; angles 84.52, 86.28, 63.98 degrees
Last column: magnetic moment on the atom in μB.
Positions (direct):
U (0.3511, 0.3185, 0.5040)  -0.01
O (0.6517, 0.4684, 0.6385)  0.33
O (0.9568, 0.3620, 0.3532)  0.39
Ba (0.9045, 0.0375, 0.9983)  0.00
B (0.7927, 0.6237, 0.4999)  -0.01
O (0.3701, 0.0998, 0.7942)  0.04
O (0.9857, 0.6714, 0.6402)  0.04
O (0.3572, 0.5188, 0.2096)  0.06
O (0.6301, 0.8999, 0.3621)  0.04

[3]
The following is a DFT calculation (GGA-PBE) of a relaxed LaYNp crystal.

* crystal system: monoclinic
* calculated formation energy: 66 kJ/mol of formula units
* space-group type: C2/m, No. 12
* total energy: -7.881 eV/atom
* magnetization: 2.82 μB/cell

Cell lengths 3.5744, 6.4405, 8.4615 Å; angles 104.73, 102.19, 90.00 degrees
Last column: magnetic moment on the atom in μB.
Positions (direct):
La (0.5600, 0.7980, 0.1200)  0.01
La (0.4400, 0.2020, 0.8800)  0.01
Np (0.2259, 0.8779, 0.4517)  1.37
Y (0.8476, 0.6583, 0.6951)  0.00
Y (0.1524, 0.3417, 0.3049)  0.00
Np (0.7741, 0.1221, 0.5483)  1.37

[4]
The following is a DFT calculation (GGA-PBE) of a relaxed Mn2AlAgAs crystal.

* crystal system: tetragonal
* calculated formation energy: 262 kJ/mol of formula units
* space-group type: P4/mmm, No. 123
* total energy: -5.374 eV/atom
* magnetization: 7.16 μB/cell

Cell lengths 4.6533, 4.8999, 4.6533 Å; angles 90.00, 90.00, 90.00 degrees
Last column: magnetic moment on the atom in μB.
Positions (direct):
Ag (0.0000, 0.5000, 0.0000)  0.00
Mn (0.5000, 0.0000, 0.0000)  3.63
Al (0.5000, 0.5000, 0.5000)  -0.02
Mn (0.0000, 0.0000, 0.5000)  3.57
As (0.0000, 0.0000, 0.0000)  -0.07

[5]
The following is a DFT calculation (GGA-PBE) of a relaxed ZnIn2As crystal.

* crystal system: orthorhombic
* calculated formation energy: 52 kJ/mol of formula units
* space-group type: Pmmm, No. 47
* excess energy over the best structure of this formula in the dataset: 94 meV/atom
* total energy: -2.715 eV/atom
* magnetization: 0.00 μB/cell

Cell lengths 4.2981, 5.2697, 4.0188 Å; angles 90.00, 90.00, 90.00 degrees
Positions (direct):
In (0.5000, 0.5000, 0.0000)
Zn (0.5000, 0.0000, 0.5000)
In (0.0000, 0.0000, 0.0000)
As (0.0000, 0.5000, 0.5000)

[6]
The following is a DFT calculation (GGA-PBE) of a relaxed NdHg2Pd6 crystal.

* crystal system: hexagonal
* calculated formation energy: -237 kJ/mol of formula units
* space-group type: P6/mmm, No. 191
* excess energy over the best structure of this formula in the dataset: 0 meV/atom
* total energy: -4.332 eV/atom
* magnetization: 0.00 μB/cell

Cell lengths 5.5153, 5.5153, 7.3754 Å; angles 90.00, 90.00, 120.00 degrees
Positions (direct):
Pd (0.0000, 0.5005, 0.8145)
Pd (0.0000, 0.4995, 0.1855)
Pd (0.5005, 0.5005, 0.1855)
Hg (0.6667, 0.3333, 0.5000)
Pd (0.4995, 0.0000, 0.1855)
Pd (0.4995, 0.4995, 0.8145)
Hg (0.3333, 0.6667, 0.5000)
Nd (0.0000, 0.0000, 0.0000)
Pd (0.5005, 0.0000, 0.8145)

Number 3 is which compound?
LaYNp

Which formula does entry 3 have?
LaYNp

magnetization of number 5 (ZnIn2As)?
0.00 μB/cell

Repeat the second record exactly.
The following is a DFT calculation (GGA-PBE) of a relaxed BaUBO6 crystal.

* crystal system: triclinic
* space-group type: P1, No. 1
* total energy: -8.164 eV/atom
* magnetization: 1.05 μB/cell

Cell lengths 5.5492, 4.9423, 5.7484 Å; angles 84.52, 86.28, 63.98 degrees
Last column: magnetic moment on the atom in μB.
Positions (direct):
U (0.3511, 0.3185, 0.5040)  -0.01
O (0.6517, 0.4684, 0.6385)  0.33
O (0.9568, 0.3620, 0.3532)  0.39
Ba (0.9045, 0.0375, 0.9983)  0.00
B (0.7927, 0.6237, 0.4999)  -0.01
O (0.3701, 0.0998, 0.7942)  0.04
O (0.9857, 0.6714, 0.6402)  0.04
O (0.3572, 0.5188, 0.2096)  0.06
O (0.6301, 0.8999, 0.3621)  0.04